1.
A relaxed RbHfAgS3 crystal. Source: OQMD via LeMat-Bulk, functional PBE.

a = 10.748 Å, b = 3.774 Å, c = 14.924 Å
α = 90.00°, β = 90.00°, γ = 90.00°
Sites, in units of the cell vectors:
Ag 0.757 0.750 0.210
Ag 0.257 0.750 0.290
Ag 0.743 0.250 0.710
Ag 0.243 0.250 0.790
Hf 0.481 0.250 0.235
Hf 0.981 0.250 0.265
Hf 0.019 0.750 0.735
Hf 0.519 0.750 0.765
Rb 0.763 0.250 0.000
Rb 0.237 0.750 0.000
Rb 0.737 0.750 0.500
Rb 0.263 0.250 0.500
S 0.556 0.750 0.130
S 0.974 0.750 0.146
S 0.275 0.250 0.175
S 0.775 0.250 0.325
S 0.474 0.750 0.354
S 0.056 0.750 0.370
S 0.944 0.250 0.630
S 0.526 0.250 0.646
S 0.225 0.750 0.675
S 0.725 0.750 0.825
S 0.026 0.250 0.854
S 0.444 0.250 0.870

SG: No. 62
VASP energy: -5.502 eV/atom



2.
A relaxed RbHfAgSe2S crystal. Source: OQMD via LeMat-Bulk, functional PBE.

a = 8.587 Å, b = 3.937 Å, c = 10.139 Å
α = 90.00°, β = 112.01°, γ = 90.00°
Sites, in units of the cell vectors:
Ag 0.427 0.750 0.392
Ag 0.573 0.250 0.608
Hf 0.180 0.250 0.151
Hf 0.820 0.750 0.849
Rb 0.758 0.250 0.275
Rb 0.242 0.750 0.725
S 0.970 0.750 0.125
S 0.030 0.250 0.875
Se 0.387 0.750 0.124
Se 0.229 0.250 0.426
Se 0.771 0.750 0.574
Se 0.613 0.250 0.876

Energy above the most stable polymorph in this dataset: 0.000 kcal/mol of atoms
SG: No. 11



3.
A relaxed RbHfAgSe2S crystal. Source: OQMD via LeMat-Bulk, functional PBE.

a = 7.941 Å, b = 7.941 Å, c = 10.248 Å
α = 90.00°, β = 90.00°, γ = 151.07°
Sites, in units of the cell vectors:
Ag 0.455 0.545 0.250
Ag 0.545 0.455 0.750
Hf 0.000 0.000 0.000
Hf 0.000 0.000 0.500
Rb 0.743 0.257 0.250
Rb 0.257 0.743 0.750
S 0.056 0.944 0.250
S 0.944 0.056 0.750
Se 0.379 0.621 0.028
Se 0.379 0.621 0.472
Se 0.621 0.379 0.528
Se 0.621 0.379 0.972

Energy above the most stable polymorph in this dataset: 1.774 kcal/mol of atoms
SG: No. 63



4.
A relaxed RbHfAgSe2S crystal. Source: OQMD via LeMat-Bulk, functional PBE.

a = 8.590 Å, b = 3.926 Å, c = 10.431 Å
α = 90.00°, β = 112.28°, γ = 90.00°
Sites, in units of the cell vectors:
Ag 0.070 0.250 0.105
Ag 0.930 0.750 0.895
Hf 0.311 0.750 0.340
Hf 0.689 0.250 0.660
Rb 0.758 0.750 0.221
Rb 0.242 0.250 0.779
S 0.125 0.250 0.359
S 0.875 0.750 0.641
Se 0.271 0.750 0.075
Se 0.549 0.250 0.376
Se 0.451 0.750 0.624
Se 0.729 0.250 0.925

Energy above the most stable polymorph in this dataset: 0.658 kcal/mol of atoms
SG: No. 11



5.
A relaxed RbHfAgSe2S crystal. Source: OQMD via LeMat-Bulk, functional PBE.

a = 8.667 Å, b = 3.978 Å, c = 10.077 Å
α = 90.00°, β = 111.51°, γ = 90.00°
Sites, in units of the cell vectors:
Ag 0.424 0.750 0.395
Ag 0.576 0.250 0.605
Hf 0.189 0.250 0.163
Hf 0.811 0.750 0.837
Rb 0.754 0.250 0.294
Rb 0.246 0.750 0.706
S 0.245 0.250 0.424
S 0.755 0.750 0.576
Se 0.386 0.750 0.126
Se 0.961 0.750 0.133
Se 0.039 0.250 0.867
Se 0.614 0.250 0.874

Energy above the most stable polymorph in this dataset: 1.008 kcal/mol of atoms
SG: No. 11



6.
A relaxed RbHfAgTeS2 crystal. Source: OQMD via LeMat-Bulk, functional PBE.

a = 8.329 Å, b = 8.329 Å, c = 10.756 Å
α = 90.00°, β = 90.00°, γ = 153.08°
Sites, in units of the cell vectors:
Ag 0.467 0.533 0.250
Ag 0.533 0.467 0.750
Hf 0.000 0.000 0.000
Hf 0.000 0.000 0.500
Rb 0.778 0.222 0.250
Rb 0.222 0.778 0.750
S 0.397 0.603 0.045
S 0.397 0.603 0.455
S 0.603 0.397 0.545
S 0.603 0.397 0.955
Te 0.088 0.912 0.250
Te 0.912 0.088 0.750

SG: No. 63
VASP energy: -5.170 eV/atom



7.
A relaxed RbHfAgTe2S crystal. Source: OQMD via LeMat-Bulk, functional PBE.

a = 8.967 Å, b = 8.967 Å, c = 10.127 Å
α = 90.00°, β = 90.00°, γ = 152.71°
Sites, in units of the cell vectors:
Ag 0.055 0.945 0.250
Ag 0.945 0.055 0.750
Hf 0.500 0.500 0.000
Hf 0.500 0.500 0.500
Rb 0.732 0.268 0.250
Rb 0.268 0.732 0.750
S 0.472 0.528 0.250
S 0.528 0.472 0.750
Te 0.120 0.880 0.004
Te 0.120 0.880 0.496
Te 0.880 0.120 0.504
Te 0.880 0.120 0.996

SG: No. 63
VASP energy: -4.865 eV/atom



8.
A relaxed RbHfAgSe3 crystal. Source: OQMD via LeMat-Bulk, functional PBE.

a = 9.056 Å, b = 9.056 Å, c = 9.327 Å
α = 98.81°, β = 98.81°, γ = 24.87°
Sites, in units of the cell vectors:
Ag 0.480 0.480 0.273
Ag 0.520 0.520 0.727
Hf 0.840 0.840 0.427
Hf 0.160 0.160 0.573
Rb 0.145 0.145 0.067
Rb 0.855 0.855 0.933
Se 0.500 0.500 0.000
Se 0.327 0.327 0.231
Se 0.679 0.679 0.380
Se 0.000 0.000 0.500
Se 0.321 0.321 0.620
Se 0.673 0.673 0.769

SG: No. 12
VASP energy: -4.957 eV/atom



9.
A relaxed RbHfAgSe3 crystal. Source: OQMD via LeMat-Bulk, functional PBE.

a = 9.360 Å, b = 3.941 Å, c = 17.482 Å
α = 90.00°, β = 90.00°, γ = 90.00°
Sites, in units of the cell vectors:
Ag 0.945 0.250 0.194
Ag 0.445 0.250 0.306
Ag 0.555 0.750 0.694
Ag 0.055 0.750 0.806
Hf 0.170 0.250 0.064
Hf 0.670 0.250 0.436
Hf 0.330 0.750 0.564
Hf 0.830 0.750 0.936
Rb 0.581 0.750 0.147
Rb 0.081 0.750 0.353
Rb 0.919 0.250 0.647
Rb 0.419 0.250 0.853
Se 0.327 0.750 0.011
Se 0.960 0.750 0.083
Se 0.241 0.250 0.205
Se 0.741 0.250 0.295
Se 0.460 0.750 0.417
Se 0.827 0.750 0.489
Se 0.173 0.250 0.511
Se 0.540 0.250 0.583
Se 0.259 0.750 0.705
Se 0.759 0.750 0.795
Se 0.040 0.250 0.917
Se 0.673 0.250 0.989

SG: No. 62
VASP energy: -5.025 eV/atom



10.
A relaxed RbHfAgSe3 crystal. Source: OQMD via LeMat-Bulk, functional PBE.

a = 7.968 Å, b = 7.968 Å, c = 10.491 Å
α = 90.00°, β = 90.00°, γ = 151.13°
Sites, in units of the cell vectors:
Ag 0.953 0.047 0.250
Ag 0.047 0.953 0.750
Hf 0.500 0.500 0.000
Hf 0.500 0.500 0.500
Rb 0.250 0.750 0.250
Rb 0.750 0.250 0.750
Se 0.880 0.120 0.030
Se 0.565 0.435 0.250
Se 0.880 0.120 0.470
Se 0.120 0.880 0.530
Se 0.435 0.565 0.750
Se 0.120 0.880 0.970

SG: No. 63
VASP energy: -5.061 eV/atom



11.
A relaxed RbHfAg3Se4 crystal. Source: OQMD via LeMat-Bulk, functional PBE.

a = 6.533 Å, b = 6.533 Å, c = 6.533 Å
α = 90.00°, β = 90.00°, γ = 90.00°
Sites, in units of the cell vectors:
Ag 0.500 0.500 0.000
Ag 0.500 0.000 0.500
Ag 0.000 0.500 0.500
Hf 0.500 0.500 0.500
Rb 0.000 0.000 0.000
Se 0.278 0.278 0.278
Se 0.722 0.722 0.278
Se 0.722 0.278 0.722
Se 0.278 0.722 0.722

SG: No. 215
VASP energy: -4.449 eV/atom



12.
A relaxed RbHfAgSe3 crystal. Source: OQMD via LeMat-Bulk, functional PBE.

a = 12.154 Å, b = 4.075 Å, c = 12.864 Å
α = 90.00°, β = 90.00°, γ = 90.00°
Sites, in units of the cell vectors:
Ag 0.736 0.000 0.213
Ag 0.236 0.000 0.287
Ag 0.764 0.500 0.713
Ag 0.264 0.500 0.787
Hf 0.458 0.500 0.158
Hf 0.958 0.500 0.342
Hf 0.042 0.000 0.658
Hf 0.542 0.000 0.842
Rb 0.844 0.500 0.019
Rb 0.344 0.500 0.481
Rb 0.656 0.000 0.519
Rb 0.156 0.000 0.981
Se 0.580 0.000 0.067
Se 0.251 0.500 0.155
Se 0.970 0.000 0.197
Se 0.470 0.000 0.303
Se 0.751 0.500 0.345
Se 0.080 0.000 0.433
Se 0.920 0.500 0.567
Se 0.249 0.000 0.655
Se 0.530 0.500 0.697
Se 0.030 0.500 0.803
Se 0.749 0.000 0.845
Se 0.420 0.500 0.933

SG: No. 62
VASP energy: -4.947 eV/atom



Summary of spin magnetization in μB per cell
0.0 0.0 0.0 0.0 0.0 0.0 0.0 0.0 0.0 0.0 0.0 0.0
(order as listed above)